No. 1
PrIn2Ga, relaxed, DFT PBE; symmetry = Amm2 (38)
1.0
4.973 0.000 0.000
0.000 3.420 5.878
0.000 -3.420 5.878
Pr In Ga
2 4 2
direct
0.000 0.000 0.000 Pr
0.500 0.328 0.328 Pr
0.000 0.516 0.516 In
0.500 0.357 0.824 In
0.500 0.818 0.818 In
0.500 0.824 0.357 In
0.000 0.524 0.963 Ga
0.000 0.963 0.524 Ga



No. 2
HfCdCoBi, relaxed, DFT PBE; ΔE to the lowest computed polymorph = 0.0 meV per atom; symmetry = F-43m (216)
1.0
0.000 3.419 3.419
3.419 0.000 3.419
3.419 3.419 0.000
Hf Cd Co Bi
1 1 1 1
direct
0.000 0.000 0.000 Hf
0.250 0.250 0.250 Cd
0.750 0.750 0.750 Co
0.500 0.500 0.500 Bi



No. 3
PrZr2Si2, relaxed, DFT PBE; symmetry = P4/mbm (127)
1.0
7.565 0.000 0.000
0.000 7.565 0.000
0.000 0.000 3.611
Pr Zr Si
2 4 4
direct
0.000 0.000 0.000 Pr
0.500 0.500 0.000 Pr
0.171 0.329 0.500 Zr
0.329 0.829 0.500 Zr
0.671 0.171 0.500 Zr
0.829 0.671 0.500 Zr
0.116 0.616 0.000 Si
0.384 0.116 0.000 Si
0.616 0.884 0.000 Si
0.884 0.384 0.000 Si



No. 4
PmNiGe2, relaxed, DFT PBE; symmetry = Pnma (62)
1.0
6.900 0.000 0.000
0.000 4.185 0.000
0.000 0.000 10.417
Pm Ni Ge
4 4 8
direct
0.174 0.250 0.130 Pm
0.326 0.750 0.630 Pm
0.674 0.250 0.370 Pm
0.826 0.750 0.870 Pm
0.010 0.750 0.363 Ni
0.490 0.250 0.863 Ni
0.510 0.750 0.137 Ni
0.990 0.250 0.637 Ni
0.145 0.250 0.834 Ge
0.153 0.250 0.433 Ge
0.347 0.750 0.933 Ge
0.355 0.750 0.334 Ge
0.645 0.250 0.666 Ge
0.653 0.250 0.067 Ge
0.847 0.750 0.567 Ge
0.855 0.750 0.166 Ge



No. 5
Tb3Zn3Ir2Pt, relaxed, DFT PBE; symmetry = P-62m (189); energy of formation from the pure elements = -0.785 eV per atom
1.0
7.186 0.000 0.000
-3.593 6.224 0.000
0.000 0.000 3.913
Tb Zn Ir Pt
3 3 2 1
direct
0.000 0.409 0.000 Tb
0.409 0.000 0.000 Tb
0.591 0.591 0.000 Tb
0.000 0.749 0.500 Zn
0.251 0.251 0.500 Zn
0.749 0.000 0.500 Zn
0.333 0.667 0.500 Ir
0.667 0.333 0.500 Ir
0.000 0.000 0.000 Pt



No. 6
Tb2Pm3Dy, relaxed, DFT PBE; symmetry = Cmc2_1 (36); energy of formation from the pure elements = -0.005 eV per atom
1.0
5.417 -3.121 0.000
5.417 3.121 0.000
0.000 0.000 11.619
Tb Pm Dy
4 6 2
direct
0.001 0.333 0.000 Tb
0.333 0.001 0.500 Tb
0.667 0.999 0.000 Tb
0.999 0.667 0.500 Tb
0.001 0.999 0.250 Pm
0.332 0.335 0.750 Pm
0.335 0.332 0.250 Pm
0.665 0.668 0.750 Pm
0.668 0.665 0.250 Pm
0.999 0.001 0.750 Pm
0.334 0.666 0.000 Dy
0.666 0.334 0.500 Dy



No. 7
LiHoTlCd, relaxed, DFT PBE; symmetry = F-43m (216)
1.0
0.000 3.584 3.584
3.584 0.000 3.584
3.584 3.584 0.000
Li Ho Tl Cd
1 1 1 1
direct
0.000 0.000 0.000 Li
0.500 0.500 0.500 Ho
0.750 0.750 0.750 Tl
0.250 0.250 0.250 Cd



No. 8
HgPbSO, relaxed, DFT PBE; ΔE to the lowest computed polymorph = 42.8 meV per atom; symmetry = P2_12_12_1 (19)
1.0
6.304 0.000 0.000
0.000 7.495 0.000
0.000 0.000 8.377
Hg Pb S O
4 4 4 4
direct
0.008 0.121 0.043 Hg
0.492 0.879 0.543 Hg
0.508 0.379 0.957 Hg
0.992 0.621 0.457 Hg
0.054 0.641 0.879 Pb
0.446 0.359 0.379 Pb
0.554 0.859 0.121 Pb
0.946 0.141 0.621 Pb
0.127 0.916 0.394 S
0.373 0.084 0.894 S
0.627 0.584 0.606 S
0.873 0.416 0.106 S
0.128 0.357 0.504 O
0.372 0.643 0.004 O
0.628 0.143 0.496 O
0.872 0.857 0.996 O



No. 9
NaSmFeSe3, relaxed, DFT PBE; ΔE to the lowest computed polymorph = 28.1 meV per atom; symmetry = Pnma (62)
1.0
11.348 0.000 0.000
0.000 4.185 0.000
0.000 0.000 12.064
Na Sm Fe Se
4 4 4 12
direct
0.173 0.250 0.001 Na
0.327 0.750 0.501 Na
0.673 0.250 0.499 Na
0.827 0.750 0.999 Na
0.018 0.250 0.682 Sm
0.482 0.750 0.182 Sm
0.518 0.250 0.818 Sm
0.982 0.750 0.318 Sm
0.249 0.250 0.287 Fe
0.251 0.750 0.787 Fe
0.749 0.250 0.213 Fe
0.751 0.750 0.713 Fe
0.052 0.750 0.853 Se
0.111 0.250 0.440 Se
0.216 0.750 0.186 Se
0.284 0.250 0.686 Se
0.389 0.750 0.940 Se
0.448 0.250 0.353 Se
0.552 0.750 0.647 Se
0.611 0.250 0.060 Se
0.716 0.750 0.314 Se
0.784 0.250 0.814 Se
0.889 0.750 0.560 Se
0.948 0.250 0.147 Se



No. 10
DyTa4Ag3O12, relaxed, DFT PBE; symmetry = Im-3 (204)
1.0
-3.929 3.929 3.929
3.929 -3.929 3.929
3.929 3.929 -3.929
Dy Ta Ag O
1 4 3 12
direct
0.000 0.000 0.000 Dy
0.000 0.000 0.500 Ta
0.000 0.500 0.000 Ta
0.500 0.000 0.000 Ta
0.500 0.500 0.500 Ta
0.000 0.500 0.500 Ag
0.500 0.000 0.500 Ag
0.500 0.500 0.000 Ag
0.066 0.270 0.796 O
0.204 0.474 0.270 O
0.204 0.934 0.730 O
0.270 0.204 0.474 O
0.270 0.796 0.066 O
0.474 0.270 0.204 O
0.526 0.730 0.796 O
0.730 0.204 0.934 O
0.730 0.796 0.526 O
0.796 0.066 0.270 O
0.796 0.526 0.730 O
0.934 0.730 0.204 O



No. 11
NdSmTl, relaxed, DFT PBE; ΔE to the lowest computed polymorph = 1.3 meV per atom; symmetry = P6_3/mmc (194)
1.0
5.533 0.000 0.000
-2.766 4.791 0.000
0.000 0.000 6.880
Nd Sm Tl
2 2 2
direct
0.333 0.667 0.250 Nd
0.667 0.333 0.750 Nd
0.000 0.000 0.000 Sm
0.000 0.000 0.500 Sm
0.333 0.667 0.750 Tl
0.667 0.333 0.250 Tl



no.,final energy (eV per atom)
1,-3.763
2,-5.177
3,-7.187
4,-5.607
5,-5.390
6,-4.687
7,-2.745
8,-3.746
9,-5.236
10,-8.200
11,-4.214